14
Lattice="6.462 0.000 0.000 0.000 12.635 0.000 -3.762 0.000 5.899" Properties=species:S:1:pos:R:3 comment="Tb3Pm2Nd2, relaxed, DFT GGA-PBE" density_g_cm3=7.3 magmom_total_mub_per_cell=0.00 sg="P2_1/c (14)" energy_ev_per_atom=-4.550 pbc="T T T"
Tb 0.000 0.000 0.000
Tb -1.881 6.317 2.949
Tb -0.505 1.432 5.021
Tb 1.376 4.885 2.071
Tb 1.324 7.750 3.827
Tb 3.205 11.202 0.878
Pm 2.427 7.751 0.376
Pm 0.546 11.201 3.325
Pm 2.153 1.433 2.573
Pm 0.272 4.884 5.523
Nd -0.612 8.944 0.966
Nd -2.493 10.008 3.915
Nd 5.192 2.627 1.984
Nd 3.311 3.690 4.933

***

4
Lattice="3.149 0.000 0.000 0.000 3.149 0.000 0.000 0.000 6.165" Properties=species:S:1:pos:R:3 comment="TiMn2In, relaxed, DFT GGA-PBE" density_g_cm3=7.4 magmom_total_mub_per_cell=3.67 sg="P4/mmm (123)" energy_ev_per_atom=-7.267 pbc="T T T"
Ti 0.000 0.000 0.000
Mn 1.574 1.574 1.362
Mn 1.574 1.574 4.803
In 0.000 0.000 3.083

***

16
Lattice="0.000 7.818 11.964 3.768 0.000 11.964 3.768 7.818 0.000" Properties=species:S:1:pos:R:3 comment="Cs2RbSnSe4, relaxed, DFT GGA-PBE" raw_formation_energy_mev_per_atom=-736 density_g_cm3=3.7 magmom_total_mub_per_cell=0.00 sg="Fddd (70)" energy_ev_per_atom=-3.313 pbc="T T T"
Cs 2.826 5.864 1.523
Cs 4.710 9.773 7.505
Cs 2.826 5.864 16.423
Cs 4.710 9.773 22.405
Rb 0.942 1.955 2.991
Rb 6.595 13.682 20.937
Sn 2.826 5.864 8.973
Sn 4.710 9.773 14.955
Se 4.182 4.278 7.433
Se 4.182 7.450 10.513
Se 6.066 8.187 16.495
Se 6.066 11.359 13.415
Se 1.471 4.278 10.513
Se 1.471 7.450 7.433
Se 3.355 8.187 13.415
Se 3.355 11.359 16.495

***

8
Lattice="5.401 0.000 0.000 0.000 10.227 0.000 -0.824 0.000 2.495" Properties=species:S:1:pos:R:3 comment="KRe2Rh, relaxed, DFT GGA-PBE" density_g_cm3=12.4 magmom_total_mub_per_cell=0.82 sg="C2/m (12)" energy_ev_per_atom=-7.060 pbc="T T T"
K 0.000 0.000 0.000
K 2.700 5.114 0.000
Re 0.938 2.557 1.248
Re 0.938 7.670 1.248
Re 3.639 2.557 1.248
Re 3.639 7.670 1.248
Rh 0.000 5.114 0.000
Rh 2.700 0.000 0.000

***

12
Lattice="7.586 -2.530 0.000 7.586 2.530 0.000 -5.036 0.000 10.139" Properties=species:S:1:pos:R:3 comment="Pr5Y5Sc2, relaxed, DFT GGA-PBE" density_g_cm3=5.3 magmom_total_mub_per_cell=0.00 sg="C2/m (12)" energy_ev_per_atom=-5.698 pbc="T T T"
Pr 0.000 0.000 0.000
Pr -0.039 0.000 5.063
Pr 2.598 0.000 2.542
Pr 7.537 0.000 7.596
Pr 10.174 0.000 5.075
Y 5.041 0.000 0.001
Y 2.595 0.000 7.610
Y 5.067 0.000 5.069
Y 7.540 0.000 2.529
Y 5.093 0.000 10.138
Sc -2.531 0.000 7.645
Sc 12.666 0.000 2.494

***

12
Lattice="8.407 -3.874 0.000 8.407 3.874 0.000 -1.665 0.000 5.041" Properties=species:S:1:pos:R:3 comment="Ce5ErHg6, relaxed, DFT GGA-PBE" density_g_cm3=10.5 magmom_total_mub_per_cell=5.07 sg="C2/m (12)" energy_ev_per_atom=-3.318 pbc="T T T"
Ce 0.000 0.000 0.000
Ce 1.606 0.000 3.333
Ce 4.839 0.000 1.611
Ce 10.309 0.000 3.430
Ce 13.542 0.000 1.708
Er 8.407 0.000 0.000
Hg 4.329 1.822 4.239
Hg 7.574 1.734 2.521
Hg 10.818 1.822 0.802
Hg 4.329 -1.822 4.239
Hg 7.574 -1.734 2.521
Hg 10.818 -1.822 0.802